(1)
# YMg2In

A geometry-optimized YMg2In structure (GGA-PBEsol, Alexandria).

Properties
Its density is 4.5 Mg/m³. The value obtained for the density of states at the Fermi level is 1.0 states/eV/f.u. The uncorrected energy comes out at -0.26253 Ry per atom. Its crystal system is cubic.

Unit cell a=5.0963 b=5.0963 c=5.0963 alpha=60.00 beta=60.00 gamma=60.00
With the nearest neighbours (Å) after each atom.
Element x y z (fractional)
In  0.5000  0.5000  0.5000  4 Mg 3.12, 4 Y 3.12
Y  0.2500  0.2500  0.2500  4 In 3.12, 4 Mg 3.12
Mg  0.7500  0.7500  0.7500  4 In 3.12, 4 Mg 3.12
Mg  0.0000  0.0000  0.0000  4 Mg 3.12, 4 Y 3.12



(2)
# LaTeOs

A geometry-optimized LaTeOs structure (GGA-PBEsol, Alexandria).

Properties
Its density is 10.7 Mg/m³. The value obtained for the density of states at the Fermi level is 3.8 states/eV/f.u. For the formation energy (no corrections), the calculation gives -0.35 eV per atom. Its crystal system is hexagonal.

Unit cell a=3.9647 b=4.5383 c=4.5383 alpha=120.00 beta=90.00 gamma=90.00
With the nearest neighbours (Å) after each atom.
Element x y z (fractional)
Os  0.5000  0.6667  0.3333  3 Te 2.62
Te  0.5000  0.3333  0.6667  3 Os 2.62
La  0.0000  0.0000  0.0000  6 Te 3.29, 6 Os 3.29



(3)
# Be2TlZn

A geometry-optimized Be2TlZn structure (GGA-PBEsol, Alexandria).

Properties
Its density is 8.3 Mg/m³. The value obtained for the density of states at the Fermi level is 1.0 states/eV/f.u. The uncorrected energy comes out at -0.18085 Ry per atom. Its crystal system is tetragonal.

Unit cell a=3.7267 b=3.9211 c=3.9211 alpha=90.00 beta=90.00 gamma=90.00
With the nearest neighbours (Å) after each atom.
Element x y z (fractional)
Zn  0.5000  0.0000  0.0000  8 Be 2.70, 4 Tl 2.77
Be  0.0000  0.0000  0.5000  4 Tl 2.70, 4 Zn 2.70, 4 Be 2.77
Be  0.0000  0.5000  0.0000  4 Tl 2.70, 4 Zn 2.70, 4 Be 2.77
Tl  0.5000  0.5000  0.5000  8 Be 2.70, 4 Zn 2.77



What did the first record say?
# YMg2In

A geometry-optimized YMg2In structure (GGA-PBEsol, Alexandria).

Properties
Its density is 4.5 Mg/m³. The value obtained for the density of states at the Fermi level is 1.0 states/eV/f.u. The uncorrected energy comes out at -0.26253 Ry per atom. Its crystal system is cubic.

Unit cell a=5.0963 b=5.0963 c=5.0963 alpha=60.00 beta=60.00 gamma=60.00
With the nearest neighbours (Å) after each atom.
Element x y z (fractional)
In  0.5000  0.5000  0.5000  4 Mg 3.12, 4 Y 3.12
Y  0.2500  0.2500  0.2500  4 In 3.12, 4 Mg 3.12
Mg  0.7500  0.7500  0.7500  4 In 3.12, 4 Mg 3.12
Mg  0.0000  0.0000  0.0000  4 Mg 3.12, 4 Y 3.12



Which value of density does entry 2 give? 10.7 Mg/m³